Entry 1:
Here is a geometry-optimized Mn2InSe structure from the Alexandria database. Energies are from PBE-GGA.

Results
Offset from the most stable computed form, meV/atom: 144
Energy relative to the elements, uncorrected, eV per atom: 0.170

a b c (Å): 8.8254 8.8254 8.8254
angles (deg): 20.64 20.64 20.64
Last column: magnetic moment on the atom in μB.
Atoms (fractional coordinates):
In: 0.7418 0.7418 0.7418  -0.06
Mn: 0.9883 0.9883 0.9883  3.48
Mn: 0.2472 0.2472 0.2472  2.24
Se: 0.5227 0.5227 0.5227  -0.11

---

Entry 2:
Here is a geometry-optimized BaHg3O3 structure from the Alexandria database. Energies are from PBE-GGA.

Results
Energy relative to the elements, uncorrected, eV per atom: -0.757

a b c (Å): 6.3432 6.3432 8.8029
angles (deg): 68.88 68.88 60.00
Atoms (fractional coordinates):
Ba: 0.3321 0.3321 0.0038
Ba: 0.6679 0.6679 0.9962
Hg: 0.4263 0.8112 0.6363
Hg: 0.8112 0.1262 0.6363
Hg: 0.1262 0.4263 0.6363
Hg: 0.8738 0.5737 0.3637
Hg: 0.1888 0.8738 0.3637
Hg: 0.5737 0.1888 0.3637
O: 0.2822 0.5750 0.2189
O: 0.9239 0.2822 0.2189
O: 0.5750 0.9239 0.2189
O: 0.4250 0.0761 0.7811
O: 0.0761 0.7178 0.7811
O: 0.7178 0.4250 0.7811

---

Entry 3:
Here is a geometry-optimized CaAcZnIn structure from the Alexandria database. Energies are from PBE-GGA.

Results
Energy relative to the elements, eV per atom: -0.371

a b c (Å): 5.5512 5.5512 5.5512
angles (deg): 60.00 60.00 60.00
Atoms (fractional coordinates):
Ac: 0.0000 0.0000 0.0000
Ca: 0.5000 0.5000 0.5000
Zn: 0.7500 0.7500 0.7500
In: 0.2500 0.2500 0.2500

---

Entry 4:
Here is a geometry-optimized In2Ga2Au structure from the Alexandria database. Energies are from PBE-GGA.

Results
Offset from the most stable computed form, meV/atom: 96
Energy relative to the elements, eV per atom: 0.031

a b c (Å): 3.6959 3.6959 8.7818
angles (deg): 77.85 77.85 90.00
Atoms (fractional coordinates):
Au: 0.0000 0.0000 0.0000
Ga: 0.7500 0.2500 0.5000
Ga: 0.2500 0.7500 0.5000
In: 0.4052 0.4052 0.1896
In: 0.5948 0.5948 0.8104

---

Entry 5:
Here is a geometry-optimized SmTh3N4 structure from the Alexandria database. Energies are from PBE-GGA.

Results
Offset from the most stable computed form, meV/atom: 3
Energy relative to the elements, uncorrected, eV per atom: -1.559

a b c (Å): 3.6433 6.3112 6.3112
angles (deg): 109.36 90.00 90.00
Atoms (fractional coordinates):
Th: 0.0000 0.0000 0.5000
Th: 0.5000 0.5000 0.5000
Th: 0.0000 0.5000 0.0000
Sm: 0.5000 0.0000 0.0000
N: 0.0000 0.2553 0.2553
N: 0.5000 0.7483 0.2517
N: 0.0000 0.7447 0.7447
N: 0.5000 0.2517 0.7483

---

Entry 6:
Here is a geometry-optimized K2MgH4 structure from the Alexandria database. Energies are from PBE-GGA.

Results
Offset from the most stable computed form, meV/atom: 0

a b c (Å): 4.0112 4.0112 7.3205
angles (deg): 74.10 74.10 90.00
Atoms (fractional coordinates):
H: 0.1485 0.1485 0.7029
H: 0.8515 0.8515 0.2971
H: 0.0000 0.5000 0.0000
H: 0.5000 0.0000 0.0000
K: 0.3553 0.3553 0.2895
K: 0.6447 0.6447 0.7105
Mg: 0.0000 0.0000 0.0000

---

Entry 7:
Here is a geometry-optimized Tb3Zn2Ag4 structure from the Alexandria database. Energies are from PBE-GGA.

Results
Energy relative to the elements, eV per atom: -0.305

a b c (Å): 4.6724 5.7971 8.8469
angles (deg): 115.05 90.00 113.77
Atoms (fractional coordinates):
Tb: 0.6620 0.3239 0.6719
Tb: 0.0000 0.0000 0.0000
Tb: 0.3380 0.6761 0.3281
Zn: 0.6212 0.2424 0.2906
Zn: 0.3788 0.7576 0.7094
Ag: 0.7193 0.4386 0.0629
Ag: 0.2807 0.5614 0.9371
Ag: 0.9338 0.8676 0.6073
Ag: 0.0662 0.1324 0.3927

---

Entry 8:
Here is a geometry-optimized AlCo2W structure from the Alexandria database. Energies are from PBE-GGA.

Results
Energy relative to the elements, eV per atom: 0.022

a b c (Å): 8.3440 8.3440 8.3440
angles (deg): 18.70 18.70 18.70
Last column: magnetic moment on the atom in μB.
Atoms (fractional coordinates):
Co: 0.0026 0.0026 0.0026  0.75
Co: 0.4974 0.4974 0.4974  0.75
Al: 0.7500 0.7500 0.7500  -0.01
W: 0.2500 0.2500 0.2500  -0.03

---

Number 1: M_tot 5.61 μB per formula unit, total DFT energy (no corrections) -5.9703 eV per atom. Number 2: M_tot 0.00 μB per formula unit, total DFT energy (no corrections) -3.2863 eV per atom. Number 3: M_tot 0.00 μB per formula unit, total DFT energy (no corrections) -2.9019 eV per atom. Number 4: M_tot 0.00 μB per formula unit, total DFT energy (no corrections) -2.9305 eV per atom. Number 5: M_tot 0.00 μB per formula unit, total DFT energy (no corrections) -9.0937 eV per atom. Number 6: M_tot 0.00 μB per formula unit, total DFT energy (no corrections) -2.7292 eV per atom. Number 7: M_tot 0.00 μB per formula unit, total DFT energy (no corrections) -3.3988 eV per atom. Number 8: M_tot 1.39 μB per formula unit, total DFT energy (no corrections) -7.7052 eV per atom.